A plane-wave DFT calculation with SCAN was carried out for a PBEsol-optimized structure of Y2PCl.

Properties
ΔE_f (raw) in meV/atom: -1566

The structure in POSCAR format:
```
Y2PCl
1.0
-1.2534 0.3415 -3.4170
0.9948 -3.5159 -0.7163
-5.6912 -0.4531 3.9977
P Y Cl
1 2 1
direct
0.2943 0.7943 0.5887 P
0.9491 0.9491 0.8981 Y
0.7132 0.2132 0.4265 Y
0.5434 0.5434 0.0868 Cl
```